A plane-wave DFT calculation with PBE was carried out for ZnFe2P2 after structural relaxation.

abc: 6.6840 6.6840 2.6218
angles: 90.00 90.00 90.00
Space group P4/mbm (No. 127)
One atom of each set of equivalent atoms:
Zn 0.0000 0.0000 0.0000 x2
Fe 0.1438 0.3562 0.5000 x4
P 0.1471 0.6471 0.0000 x4

Properties
- volume (Å³/atom) = 11.713
- formation energy (meV/atom) = -87
- spin magnetization (μB/f.u.) = 0.00
- density of states at the Fermi level (states/eV/f.u.) = 2.99

A plane-wave DFT calculation with PBE was carried out for Zn2FeP after structural relaxation.

abc: 3.5547 3.5547 8.3132
angles: 90.00 90.00 90.00
Space group I4/mmm (No. 139)
One atom of each set of equivalent atoms:
Zn 0.0000 0.5000 0.2500 x4
Fe 0.0000 0.0000 0.0000 x2
P 0.0000 0.0000 0.5000 x2

Properties
- volume (Å³/atom) = 13.130
- formation energy (meV/atom) = 110
- spin magnetization (μB/f.u.) = 1.84
- density of states at the Fermi level (states/eV/f.u.) = 2.13

A plane-wave DFT calculation with PBE was carried out for Zn2FeP after structural relaxation.

abc: 2.6597 4.1692 10.8214
angles: 90.00 90.00 90.00
Space group Imm2 (No. 44)
One atom of each set of equivalent atoms:
Zn 0.0000 0.0000 0.0000 x2
Zn 0.0000 0.5000 0.1731 x2
Fe 0.0000 0.5000 0.7047 x2
P 0.0000 0.0000 0.3662 x2

Properties
- volume (Å³/atom) = 14.999
- formation energy (meV/atom) = 37
- spin magnetization (μB/f.u.) = 1.11
- density of states at the Fermi level (states/eV/f.u.) = 2.21

Q: What is the formula in the third record?
A: Zn2FeP

Q: Which value of formation energy does entry 2 give?
A: 110 meV/atom